(1)
A relaxed ErBePt crystal, computed with PBE.

```
ErBePt
1.0
-2.740 -3.225 1.334
-3.900 1.027 1.851
-3.773 -0.761 -2.208
Er Pt Be
1 1 1
direct
0.750 0.750 0.750
0.000 0.000 0.000
0.250 0.250 0.250
```

## Properties
The value obtained for the polymorph energy (0 for the lowest one) is 0 meV/atom.


(2)
A relaxed ErBePt crystal, computed with PBE.

```
ErBePt
1.0
0.000 3.006 3.006
3.006 0.000 3.006
3.006 3.006 0.000
Be Pt Er
1 1 1
direct
0.000 0.000 0.000
0.750 0.750 0.750
0.250 0.250 0.250
```

## Properties
The value obtained for the polymorph energy (0 for the lowest one) is 32 meV/atom.


(3)
A relaxed ErBe2Pt2 crystal, computed with PBE.

```
ErBe2Pt2
1.0
-2.976 2.306 -1.306
-2.180 -1.013 3.178
3.592 7.362 4.810
Er Pt Be
2 4 4
direct
0.000 0.500 0.249
0.500 0.000 0.751
0.000 0.500 0.872
0.500 0.000 0.128
0.000 0.000 0.500
0.500 0.500 0.500
0.500 0.500 0.000
0.000 0.500 0.627
0.000 0.000 0.000
0.500 0.000 0.373
```


(4)
A relaxed RbErBe crystal, computed with PBE.

```
RbErBe
1.0
0.000 3.648 3.648
3.648 0.000 3.648
3.648 3.648 0.000
Rb Be Er
1 1 1
direct
0.750 0.750 0.750
0.250 0.250 0.250
0.000 0.000 0.000
```


(5)
A relaxed RbErBeS3 crystal, computed with PBE.

```
RbErBeS3
1.0
-1.196 3.731 -6.570
-1.099 -6.059 4.538
-8.311 4.595 4.121
S Er Rb Be
6 2 2 2
direct
0.386 0.614 0.921
0.614 0.386 0.421
0.049 0.951 0.750
0.614 0.386 0.079
0.951 0.049 0.250
0.386 0.614 0.579
0.000 0.000 0.500
0.000 0.000 0.000
0.260 0.740 0.250
0.740 0.260 0.750
0.461 0.539 0.750
0.539 0.461 0.250
```


(6)
A relaxed RbErBeSe3 crystal, computed with PBE.

```
RbErBeSe3
1.0
2.003 -7.721 0.000
2.003 7.721 0.000
0.000 0.000 10.807
Se Er Rb Be
6 2 2 2
direct
0.382 0.618 0.576
0.618 0.382 0.076
0.382 0.618 0.924
0.053 0.947 0.750
0.947 0.053 0.250
0.618 0.382 0.424
0.000 0.000 0.000
0.000 0.000 0.500
0.259 0.741 0.250
0.741 0.259 0.750
0.461 0.539 0.750
0.539 0.461 0.250
```


(7)
A relaxed RbErBeTe3 crystal, computed with PBE.

```
RbErBeTe3
1.0
2.138 -8.258 0.000
2.138 8.258 0.000
0.000 0.000 11.585
Er Be Rb Te
2 2 2 6
direct
0.000 0.000 0.500
0.000 0.000 0.000
0.537 0.463 0.750
0.463 0.537 0.250
0.258 0.742 0.750
0.742 0.258 0.250
0.379 0.621 0.073
0.943 0.057 0.750
0.621 0.379 0.927
0.057 0.943 0.250
0.379 0.621 0.427
0.621 0.379 0.573
```


(8)
A relaxed ErBeSb crystal, computed with PBE.

```
ErBeSb
1.0
0.000 3.408 3.408
3.408 0.000 3.408
3.408 3.408 0.000
Sb Er Be
1 1 1
direct
0.750 0.750 0.750
0.000 0.000 0.000
0.250 0.250 0.250
```

## Properties
The value obtained for the polymorph energy (0 for the lowest one) is 0 meV/atom.


Number 1: E_tot -15.82 eV for the cell shown. Number 2: E_tot -15.73 eV for the cell shown. Number 3: E_tot -57.60 eV for the cell shown. Number 4: E_tot -5.16 eV for the cell shown. Number 5: E_tot -62.18 eV for the cell shown. Number 6: E_tot -56.37 eV for the cell shown. Number 7: E_tot -49.51 eV for the cell shown. Number 8: E_tot -11.87 eV for the cell shown.